5
Lattice="4.404 0.000 0.000 0.000 4.404 0.000 0.000 0.000 4.272" Properties=species:S:1:pos:R:3 comment="FePHS2 | Alexandria | PBE | relaxed" relative_energy_mev_per_atom=60 final_energy_ev_per_atom=-4.1542 spacegroup=P4/mmm pbc="T T T"
Fe 0.000 0.000 0.000
P 0.000 0.000 2.136
H 2.202 2.202 2.136
S 0.000 2.202 0.000
S 2.202 0.000 0.000

7
Lattice="-1.716 2.196 9.666 1.716 -2.196 9.666 1.716 2.196 -9.666" Properties=species:S:1:pos:R:3 comment="SrLi2Zn4 | Alexandria | PBE | relaxed" relative_energy_mev_per_atom=100 final_energy_ev_per_atom=-1.6105 spacegroup=Immm pbc="T T T"
Sr 0.000 0.000 0.000
Li 1.716 0.000 5.755
Li 0.000 2.196 3.911
Zn 1.716 0.000 3.006
Zn 0.000 0.000 7.976
Zn 0.000 0.000 11.355
Zn 0.000 2.196 6.660

8
Lattice="7.417 0.000 0.000 0.000 4.184 0.000 -2.387 0.000 7.144" Properties=species:S:1:pos:R:3 comment="Tb4GaTe2As | Alexandria | PBE | relaxed" final_energy_ev_per_atom=-5.2980 e_form_raw_ev_per_fu=-9.90 spacegroup=P2/m pbc="T T T"
Tb 1.268 0.000 1.575
Tb 0.068 2.092 5.519
Tb 4.963 2.092 1.625
Tb 3.762 0.000 5.569
Ga 3.709 0.000 0.000
Te -1.193 0.000 3.572
Te 2.515 2.092 3.572
As 0.000 2.092 0.000

5
Lattice="4.924 0.000 0.000 0.000 4.924 0.000 0.000 0.000 5.188" Properties=species:S:1:pos:R:3 comment="Li2PtPbCl | Alexandria | PBE | relaxed" final_energy_ev_per_atom=-3.5338 e_form_raw_ev_per_fu=-2.25 spacegroup=P4/mmm pbc="T T T"
Li 0.000 2.462 0.000
Li 2.462 0.000 0.000
Pt 0.000 0.000 0.000
Pb 0.000 0.000 2.594
Cl 2.462 2.462 2.594

4
Lattice="0.000 3.360 3.360 3.360 0.000 3.360 3.360 3.360 0.000" Properties=species:S:1:pos:R:3 comment="LiReTe2 | Alexandria | PBE | relaxed" relative_energy_mev_per_atom=87 final_energy_ev_per_atom=-5.0424 e_form_raw_ev_per_fu=0.48 spacegroup=Fm-3m pbc="T T T"
Li 0.000 0.000 0.000
Re 3.360 3.360 3.360
Te 1.680 1.680 1.680
Te 5.039 5.039 5.039

10
Lattice="4.053 0.000 0.000 0.000 4.053 0.000 0.000 0.000 10.097" Properties=species:S:1:pos:R:3 comment="Pu2AlGa3Ni4 | Alexandria | PBE | relaxed" final_energy_ev_per_atom=-6.8493 spacegroup=P-4m2 pbc="T T T"
Pu 0.000 2.026 2.489
Pu 2.026 0.000 7.608
Al 0.000 0.000 5.048
Ga 0.000 2.026 8.824
Ga 2.026 0.000 1.273
Ga 2.026 2.026 5.048
Ni 0.000 0.000 0.000
Ni 0.000 2.026 6.420
Ni 2.026 0.000 3.676
Ni 2.026 2.026 0.000

4
Lattice="2.700 -4.027 0.000 2.700 4.027 0.000 0.000 0.000 2.979" Properties=species:S:1:pos:R:3 comment="FePAu2 | Alexandria | PBE | relaxed" final_energy_ev_per_atom=-4.7238 spacegroup=Cmmm pbc="T T T"
Fe 0.000 0.000 0.000
P 2.700 0.000 0.000
Au 1.350 2.014 1.489
Au 1.350 -2.014 1.489

5
Lattice="5.521 0.000 0.000 0.000 5.521 0.000 0.000 0.000 5.521" Properties=species:S:1:pos:R:3 comment="Y3HgAu | Alexandria | PBE | relaxed" relative_energy_mev_per_atom=0 final_energy_ev_per_atom=-4.6700 spacegroup=Pm-3m pbc="T T T"
Y 0.000 0.000 2.760
Y 0.000 2.760 0.000
Y 2.760 0.000 0.000
Hg 2.760 2.760 2.760
Au 0.000 0.000 0.000

4
Lattice="2.851 0.000 0.000 0.000 2.851 0.000 0.000 0.000 7.472" Properties=species:S:1:pos:R:3 comment="Ir2RhSe | Alexandria | PBE | relaxed" final_energy_ev_per_atom=-6.7654 e_form_raw_ev_per_fu=1.50 spacegroup=P4/mmm pbc="T T T"
Ir 0.000 0.000 1.858
Ir 0.000 0.000 5.614
Rh 1.426 1.426 0.000
Se 1.426 1.426 3.736

5
Lattice="4.876 0.000 0.000 0.000 4.876 0.000 0.000 0.000 4.948" Properties=species:S:1:pos:R:3 comment="CrSb2PdAu | Alexandria | PBE | relaxed" final_energy_ev_per_atom=-4.6277 e_form_raw_ev_per_fu=3.20 spacegroup=P4/mmm pbc="T T T"
Cr 0.000 0.000 0.000
Sb 0.000 2.438 0.000
Sb 2.438 0.000 0.000
Pd 2.438 2.438 2.474
Au 0.000 0.000 2.474

4
Lattice="3.785 -1.745 0.000 3.785 1.745 0.000 -0.498 0.000 4.695" Properties=species:S:1:pos:R:3 comment="BeAs2Rh | Alexandria | PBE | relaxed" final_energy_ev_per_atom=-5.0544 spacegroup=C2/m pbc="T T T"
Be 0.000 0.000 0.000
As 1.320 0.000 3.487
As 5.753 0.000 1.208
Rh 3.536 0.000 2.347

5
Lattice="-1.993 1.993 5.826 1.993 -1.993 5.826 1.993 1.993 -5.826" Properties=species:S:1:pos:R:3 comment="YNb2P2 | Alexandria | PBE | relaxed" relative_energy_mev_per_atom=0 final_energy_ev_per_atom=-8.3579 spacegroup=I4/mmm pbc="T T T"
Y 0.000 0.000 0.000
Nb 1.993 0.000 2.913
Nb 0.000 1.993 2.913
P 0.000 0.000 4.525
P 0.000 0.000 7.127

no.,calculated density (g cm⁻³)
1,3.04
2,4.14
3,7.76
4,5.96
5,9.82
6,9.60
7,12.32
8,6.56
9,15.48
10,8.45
11,7.01
12,6.04